Entry 1:
## RbSrSn2 (PBE)

Data for crystalline RbSrSn2 at its relaxed geometry.

ΔH_f (0 K) = -0.17 eV per atom
final energy = -11.35 eV/f.u.

Lattice parameters (Å, degrees): 8.3228 8.3228 8.3228 90.00 90.00 90.00
Space group Fm-3m (No. 225)
Unique sites:
Rb: 0.0000 0.0000 0.0000 x4
Sr: 0.0000 0.0000 0.5000 x4
Sn: 0.2500 0.2500 0.2500 x8

***

Entry 2:
## RbSr2Sn (PBE)

Data for crystalline RbSr2Sn at its relaxed geometry.

ΔH_f (0 K) = 0.15 eV per atom
final energy = -7.74 eV/f.u.

Lattice parameters (Å, degrees): 8.7116 8.7116 17.9847 90.00 90.00 90.00
Space group I-42d (No. 122)
Unique sites:
Rb: 0.0000 0.0000 0.0000 x4
Sr: 0.0112 0.7500 0.6250 x8
Sn: 0.0000 0.0000 0.5000 x4

***

Entry 3:
## Rb2SrSn (PBE)

Data for crystalline Rb2SrSn at its relaxed geometry.

ΔH_f (0 K) = 0.07 eV per atom
final energy = -7.35 eV/f.u.

Lattice parameters (Å, degrees): 5.1850 5.1850 27.9553 90.00 90.00 90.00
Space group I-42d (No. 122)
Unique sites:
Rb: 0.2325 0.2500 0.1250 x8
Sr: 0.0000 0.0000 0.5000 x4
Sn: 0.0000 0.0000 0.0000 x4

***

Entry 4:
## RbSrSn4 (PBE)

Data for crystalline RbSrSn4 at its relaxed geometry.

ΔH_f (0 K) = -0.24 eV per atom
final energy = -20.09 eV/f.u.

Lattice parameters (Å, degrees): 5.5606 12.4939 5.6501 90.00 90.00 90.00
Space group Cmmm (No. 65)
Unique sites:
Rb: 0.0000 0.0000 0.0000 x2
Sr: 0.0000 0.5000 0.5000 x2
Sn: 0.0000 0.1971 0.5000 x4
Sn: 0.0000 0.3054 0.0000 x4

***

Entry 5:
## RbSrSn4 (PBE)

Data for crystalline RbSrSn4 at its relaxed geometry.

ΔH_f (0 K) = -0.29 eV per atom
final energy = -20.37 eV/f.u.

Lattice parameters (Å, degrees): 9.1768 9.1768 9.1768 90.00 90.00 90.00
Space group F-43m (No. 216)
Unique sites:
Rb: 0.0000 0.0000 0.0000 x4
Sr: 0.2500 0.2500 0.2500 x4
Sn: 0.1244 0.1244 0.6244 x16

***

Entry 6:
## RbSr2Sn8 (PBE)

Data for crystalline RbSr2Sn8 at its relaxed geometry.

ΔH_f (0 K) = -0.28 eV per atom
final energy = -39.49 eV/f.u.

Lattice parameters (Å, degrees): 9.3154 16.3780 6.3696 90.00 132.29 90.00
Space group C2/m (No. 12)
Unique sites:
Rb: 0.0000 0.0000 0.0000 x2
Sr: 0.0000 0.3094 0.5000 x4
Sn: 0.0000 0.2231 0.0000 x4
Sn: 0.0006 0.5000 0.2542 x4
Sn: 0.2469 0.1237 0.7519 x8

***

Entry 7:
## RbSrSn2 (PBE)

Data for crystalline RbSrSn2 at its relaxed geometry.

ΔH_f (0 K) = 0.07 eV per atom
final energy = -10.37 eV/f.u.

Lattice parameters (Å, degrees): 9.6385 9.6385 6.6016 90.00 90.00 90.00
Space group I-42d (No. 122)
Unique sites:
Rb: 0.0000 0.0000 0.0000 x4
Sr: 0.0000 0.0000 0.5000 x4
Sn: 0.2339 0.7500 0.6250 x8

***

Entry 8:
## RbSrTaSn2 (PBE)

Data for crystalline RbSrTaSn2 at its relaxed geometry.

ΔH_f (0 K) = 1.40 eV per atom
final energy = -15.49 eV/f.u.

Lattice parameters (Å, degrees): 6.0958 6.0958 5.4324 90.00 90.00 90.00
Space group P4/mmm (No. 123)
Unique sites:
Rb: 0.0000 0.0000 0.0000 x1
Sr: 0.5000 0.5000 0.5000 x1
Ta: 0.5000 0.5000 0.0000 x1
Sn: 0.0000 0.5000 0.5000 x2